# CdReF3

An optimized crystal structure of CdReF3 (PBE, the Alexandria database).

Cell lengths 4.2912, 4.2912, 4.2912 Å; angles 90.00, 90.00, 90.00 degrees
Sites, in units of the cell vectors:
Cd 0.0000 0.0000 0.0000
Re 0.5000 0.5000 0.5000
F 0.0000 0.5000 0.5000
F 0.5000 0.0000 0.5000
F 0.5000 0.5000 0.0000

V   15.80 A^3/atom
Total magnetization   2.766 μB per formula unit
SG   Pm-3m
Calculated total energy   -22.84 eV per cell
Excess energy over the best structure of this formula in the dataset   0.0 meV/atom
Formation energy from raw total energies   -773.4 meV/atom

=====

# Cd2ReF

An optimized crystal structure of Cd2ReF (PBE, the Alexandria database).

Cell lengths 6.9603, 6.9603, 6.1698 Å; angles 90.00, 90.00, 90.00 degrees
Sites, in units of the cell vectors:
Cd 0.2024 0.2500 0.1250
Cd 0.2500 0.7024 0.3750
Cd 0.2500 0.7976 0.8750
Cd 0.2977 0.2500 0.6250
Cd 0.7024 0.7500 0.6250
Cd 0.7500 0.2024 0.8750
Cd 0.7500 0.2977 0.3750
Cd 0.7976 0.7500 0.1250
Re 0.0000 0.0000 0.5000
Re 0.0000 0.5000 0.7500
Re 0.5000 0.0000 0.2500
Re 0.5000 0.5000 0.0000
F 0.0000 0.0000 0.0000
F 0.0000 0.5000 0.2500
F 0.5000 0.0000 0.7500
F 0.5000 0.5000 0.5000

V   18.68 A^3/atom
Total magnetization   2.781 μB per formula unit
SG   I-42d
Calculated total energy   -58.89 eV per cell
Excess energy over the best structure of this formula in the dataset   0.0 meV/atom
Formation energy from raw total energies   356.7 meV/atom

=====

# Cd2ReF

An optimized crystal structure of Cd2ReF (PBE, the Alexandria database).

Cell lengths 6.6542, 6.6542, 6.6542 Å; angles 90.00, 90.00, 90.00 degrees
Sites, in units of the cell vectors:
Cd 0.2500 0.2500 0.2500
Cd 0.2500 0.2500 0.7500
Cd 0.2500 0.7500 0.2500
Cd 0.2500 0.7500 0.7500
Cd 0.7500 0.2500 0.2500
Cd 0.7500 0.2500 0.7500
Cd 0.7500 0.7500 0.2500
Cd 0.7500 0.7500 0.7500
Re 0.0000 0.0000 0.0000
Re 0.0000 0.5000 0.5000
Re 0.5000 0.0000 0.5000
Re 0.5000 0.5000 0.0000
F 0.0000 0.0000 0.5000
F 0.0000 0.5000 0.0000
F 0.5000 0.0000 0.0000
F 0.5000 0.5000 0.5000

V   18.41 A^3/atom
Total magnetization   2.774 μB per formula unit
SG   Fm-3m
Calculated total energy   -56.55 eV per cell
Excess energy over the best structure of this formula in the dataset   146.3 meV/atom
Formation energy from raw total energies   503.0 meV/atom

=====

Copy entry 2 word for word.
# Cd2ReF

An optimized crystal structure of Cd2ReF (PBE, the Alexandria database).

Cell lengths 6.9603, 6.9603, 6.1698 Å; angles 90.00, 90.00, 90.00 degrees
Sites, in units of the cell vectors:
Cd 0.2024 0.2500 0.1250
Cd 0.2500 0.7024 0.3750
Cd 0.2500 0.7976 0.8750
Cd 0.2977 0.2500 0.6250
Cd 0.7024 0.7500 0.6250
Cd 0.7500 0.2024 0.8750
Cd 0.7500 0.2977 0.3750
Cd 0.7976 0.7500 0.1250
Re 0.0000 0.0000 0.5000
Re 0.0000 0.5000 0.7500
Re 0.5000 0.0000 0.2500
Re 0.5000 0.5000 0.0000
F 0.0000 0.0000 0.0000
F 0.0000 0.5000 0.2500
F 0.5000 0.0000 0.7500
F 0.5000 0.5000 0.5000

V   18.68 A^3/atom
Total magnetization   2.781 μB per formula unit
SG   I-42d
Calculated total energy   -58.89 eV per cell
Excess energy over the best structure of this formula in the dataset   0.0 meV/atom
Formation energy from raw total energies   356.7 meV/atom

=====

Among the records above, which one has the highest excess energy over the best structure of this formula in the dataset?
number 3

=====

Which value of total magnetization does entry 3 give?
2.774 μB per formula unit

=====

total magnetization of number 1 (CdReF3)?
2.766 μB per formula unit